(1)
VASP calculation (PBE) on La2InP3Rh12 after structural relaxation.

Computed properties:
V, Å³/cell: 305.2
Formation enthalpy at 0 K, eV/atom: -0.2653
Spin magnetization, Bohr magnetons per cell: 0.0

POSCAR file:
```
La2InP3Rh12
1.0
-5.638 1.617 3.484
1.394 -3.064 5.934
2.326 5.348 3.540
Rh In P La
12 1 3 2
Direct
0.829 0.829 0.350 Rh
0.347 0.913 0.347 Rh
0.347 0.347 0.913 Rh
0.913 0.347 0.347 Rh
0.350 0.829 0.829 Rh
0.829 0.350 0.829 Rh
0.171 0.171 0.650 Rh
0.171 0.650 0.171 Rh
0.087 0.653 0.653 Rh
0.653 0.653 0.087 Rh
0.653 0.087 0.653 Rh
0.650 0.171 0.171 Rh
0.000 0.000 0.000 In
0.500 0.000 0.000 P
0.000 0.500 0.000 P
0.000 0.000 0.500 P
0.386 0.386 0.386 La
0.614 0.614 0.614 La
```

(2)
VASP calculation (PBE) on LaInP2Rh5 after structural relaxation.

Computed properties:
V, Å³/cell: 169.7
Formation enthalpy at 0 K, eV/atom: -0.7011
Spin magnetization, Bohr magnetons per cell: 0.0

POSCAR file:
```
LaInP2Rh5
1.0
4.096 0.000 0.000
0.000 4.096 0.000
0.000 0.000 10.118
In P Rh La
1 2 5 1
Direct
0.000 0.000 0.000 In
0.500 0.500 0.725 P
0.500 0.500 0.275 P
0.000 0.500 0.179 Rh
0.000 0.500 0.821 Rh
0.500 0.000 0.179 Rh
0.500 0.000 0.821 Rh
0.500 0.500 0.500 Rh
0.000 0.000 0.500 La
```

(3)
VASP calculation (PBE) on LaInP2Rh after structural relaxation.

Computed properties:
V, Å³/cell: 121.2
Formation enthalpy at 0 K, eV/atom: 0.2168
Spin magnetization, Bohr magnetons per cell: 0.0

POSCAR file:
```
LaInP2Rh
1.0
4.983 0.000 0.000
0.000 4.883 0.000
0.000 0.000 4.983
Rh In P La
1 1 2 1
Direct
0.000 0.500 0.000 Rh
0.000 0.000 0.000 In
0.000 0.000 0.500 P
0.500 0.000 0.000 P
0.500 0.500 0.500 La
```